1.
A plane-wave DFT calculation with PBE-GGA was carried out for Cs2TaSe4 after structural relaxation.

Geometry as CIF:
```
data_Cs2TaSe4
_cell_length_a 5.2059
_cell_length_b 5.2059
_cell_length_c 9.7420
_cell_angle_alpha 74.50
_cell_angle_beta 74.50
_cell_angle_gamma 90.00
_symmetry_space_group_name_H-M 'P 1'
_symmetry_Int_Tables_number 1
loop_
_symmetry_equiv_pos_as_xyz
'x,y,z'
loop_
_atom_site_label
_atom_site_fract_x
_atom_site_fract_y
_atom_site_fract_z
_atom_site_occupancy
Cs1 0.6493 0.6493 0.7015 1
Cs2 0.3507 0.3507 0.2985 1
Se1 0.8599 0.8599 0.2802 1
Se2 0.1401 0.1401 0.7198 1
Se3 0.0000 0.5000 0.0000 1
Se4 0.5000 0.0000 0.0000 1
Ta1 0.0000 0.0000 0.0000 1
```

Computed properties:
Space group: No. 139
Formation energy (no corrections), eV per atom: -0.839
Uncorrected energy, eV per cell: -33.368

---

2.
A plane-wave DFT calculation with PBE-GGA was carried out for Cs4TaSe5 after structural relaxation.

Geometry as CIF:
```
data_Cs4TaSe5
_cell_length_a 7.2799
_cell_length_b 8.5054
_cell_length_c 8.5054
_cell_angle_alpha 79.45
_cell_angle_beta 64.66
_cell_angle_gamma 64.66
_symmetry_space_group_name_H-M 'P 1'
_symmetry_Int_Tables_number 1
loop_
_symmetry_equiv_pos_as_xyz
'x,y,z'
loop_
_atom_site_label
_atom_site_fract_x
_atom_site_fract_y
_atom_site_fract_z
_atom_site_occupancy
Cs1 0.4134 0.3901 0.7912 1
Cs2 0.8035 0.7912 0.6099 1
Cs3 0.2046 0.2088 0.3901 1
Cs4 0.5947 0.6099 0.2088 1
Ta1 0.0847 0.0000 0.0000 1
Se1 0.9268 0.2874 0.8560 1
Se2 0.2142 0.8560 0.7126 1
Se3 0.7828 0.1440 0.2874 1
Se4 0.0702 0.7126 0.1440 1
Se5 0.4154 0.0000 0.0000 1
```

Computed properties:
Space group: No. 79
Formation energy (no corrections), eV per atom: -1.013
Uncorrected energy, eV per cell: -42.822

---

3.
A plane-wave DFT calculation with PBE-GGA was carried out for CsTaSe2 after structural relaxation.

Geometry as CIF:
```
data_CsTaSe2
_cell_length_a 5.1748
_cell_length_b 5.1748
_cell_length_c 5.1748
_cell_angle_alpha 60.00
_cell_angle_beta 60.00
_cell_angle_gamma 60.00
_symmetry_space_group_name_H-M 'P 1'
_symmetry_Int_Tables_number 1
loop_
_symmetry_equiv_pos_as_xyz
'x,y,z'
loop_
_atom_site_label
_atom_site_fract_x
_atom_site_fract_y
_atom_site_fract_z
_atom_site_occupancy
Cs1 0.0000 0.0000 0.0000 1
Se1 0.2500 0.2500 0.2500 1
Se2 0.7500 0.7500 0.7500 1
Ta1 0.5000 0.5000 0.5000 1
```

Computed properties:
Space group: No. 225
Formation energy (no corrections), eV per atom: 0.276
Uncorrected energy, eV per cell: -18.570

---

Which value of formation energy (no corrections) does entry 3 give? 0.276 eV per atom

---

Which formula does entry 2 have? Cs4TaSe5

---

uncorrected energy of number 3 (CsTaSe2)? -18.570 eV per cell

---

What is the uncorrected energy in the third record? -18.570 eV per cell